Record 1
Compound: NaLuTlPd
Source: Alexandria via LeMat-Bulk
Functional: PBE
Structure: relaxed

Cell: 5.016 5.016 5.016 Å, 60.00 60.00 60.00°
Fractional positions:
Na 0.000 0.000 0.000
Lu 0.500 0.500 0.500
Tl 0.750 0.750 0.750
Pd 0.250 0.250 0.250

The formation enthalpy at 0 K is -0.261 eV per atom. For the magnetization, the calculation gives 0.000 μB per atom.

Record 2
Compound: NaPmPrLu
Source: Alexandria via LeMat-Bulk
Functional: PBE
Structure: relaxed

Cell: 5.715 5.715 5.715 Å, 60.00 60.00 60.00°
Fractional positions:
Na 0.000 0.000 0.000
Pm 0.250 0.250 0.250
Pr 0.750 0.750 0.750
Lu 0.500 0.500 0.500

The formation enthalpy at 0 K is 0.253 eV per atom. For the magnetization, the calculation gives 0.000 μB per atom.

Record 3
Compound: NaPmLuSn
Source: Alexandria via LeMat-Bulk
Functional: PBE
Structure: relaxed

Cell: 5.351 5.351 5.351 Å, 60.00 60.00 60.00°
Fractional positions:
Na 0.000 0.000 0.000
Pm 0.750 0.750 0.750
Lu 0.250 0.250 0.250
Sn 0.500 0.500 0.500

The formation enthalpy at 0 K is -0.238 eV per atom. For the magnetization, the calculation gives 0.003 μB per atom.

Record 4
Compound: NaPrLuTl
Source: Alexandria via LeMat-Bulk
Functional: PBE
Structure: relaxed

Cell: 5.464 5.464 5.464 Å, 60.00 60.00 60.00°
Fractional positions:
Na 0.000 0.000 0.000
Pr 0.250 0.250 0.250
Lu 0.750 0.750 0.750
Tl 0.500 0.500 0.500

The formation enthalpy at 0 K is -0.045 eV per atom. For the magnetization, the calculation gives 0.000 μB per atom.

Record 5
Compound: NaLuPt2
Source: Alexandria via LeMat-Bulk
Functional: PBE
Structure: relaxed

Cell: 4.396 4.396 3.810 Å, 90.00 90.00 90.00°
Fractional positions:
Na 0.000 0.000 0.000
Lu 0.500 0.500 0.000
Pt 0.000 0.500 0.500
Pt 0.500 0.000 0.500

The formation enthalpy at 0 K is -0.740 eV per atom. For the magnetization, the calculation gives 0.000 μB per atom.

Record 6
Compound: NaLuPt2
Source: Alexandria via LeMat-Bulk
Functional: PBE
Structure: relaxed

Cell: 3.346 3.346 7.177 Å, 90.00 90.00 90.00°
Fractional positions:
Na 0.000 0.000 0.000
Lu 0.000 0.000 0.500
Pt 0.500 0.500 0.277
Pt 0.500 0.500 0.723

The formation enthalpy at 0 K is -0.779 eV per atom. For the magnetization, the calculation gives 0.000 μB per atom.

Record 7
Compound: NaLuSnPt
Source: Alexandria via LeMat-Bulk
Functional: PBE
Structure: relaxed

Cell: 4.823 4.823 4.823 Å, 60.00 60.00 60.00°
Fractional positions:
Na 0.000 0.000 0.000
Lu 0.750 0.750 0.750
Sn 0.250 0.250 0.250
Pt 0.500 0.500 0.500

The formation enthalpy at 0 K is -0.666 eV per atom. For the magnetization, the calculation gives 0.000 μB per atom.

Record 8
Compound: NaLu2Rh
Source: Alexandria via LeMat-Bulk
Functional: PBE
Structure: relaxed

Cell: 3.373 3.373 9.349 Å, 90.00 90.00 90.00°
Fractional positions:
Na 0.000 0.000 0.000
Lu 0.500 0.500 0.329
Lu 0.500 0.500 0.671
Rh 0.000 0.000 0.500

The formation enthalpy at 0 K is -0.407 eV per atom. For the magnetization, the calculation gives 0.000 μB per atom.

Record 9
Compound: NaLu2S
Source: Alexandria via LeMat-Bulk
Functional: PBE
Structure: relaxed

Cell: 10.325 10.325 10.325 Å, 20.04 20.04 20.04°
Fractional positions:
Na 0.000 0.000 0.000
Lu 0.113 0.113 0.113
Lu 0.887 0.887 0.887
S 0.500 0.500 0.500

For the magnetization, the calculation gives 0.000 μB per atom. The uncorrected formation energy is -0.688 eV/atom.

Record 10
Compound: NaLuS2
Source: Alexandria via LeMat-Bulk
Functional: PBE
Structure: relaxed

Cell: 7.039 7.039 7.039 Å, 32.17 32.17 32.17°
Fractional positions:
Na 0.000 0.000 0.000
Lu 0.500 0.500 0.500
S 0.241 0.241 0.241
S 0.759 0.759 0.759

For the magnetization, the calculation gives 0.000 μB per atom. The uncorrected formation energy is -1.851 eV/atom.

Record 11
Compound: NaLuSb2
Source: Alexandria via LeMat-Bulk
Functional: PBE
Structure: relaxed

Cell: 4.967 4.967 4.183 Å, 90.00 90.00 90.00°
Fractional positions:
Na 0.000 0.000 0.000
Lu 0.500 0.500 0.000
Sb 0.000 0.500 0.500
Sb 0.500 0.000 0.500

Its distance to the lowest polymorph of the same formula is 52 meV per atom. For the magnetization, the calculation gives 0.000 μB per atom. The uncorrected formation energy is -0.482 eV/atom.

Record 12
Compound: NaLuSb2
Source: Alexandria via LeMat-Bulk
Functional: PBE
Structure: relaxed

Cell: 5.882 5.882 5.882 Å, 49.86 49.86 49.86°
Fractional positions:
Na 0.000 0.000 0.000
Lu 0.500 0.500 0.500
Sb 0.249 0.249 0.249
Sb 0.751 0.751 0.751

Its distance to the lowest polymorph of the same formula is 93 meV per atom. For the magnetization, the calculation gives 0.000 μB per atom. The uncorrected formation energy is -0.441 eV/atom.

Record 13
Compound: NaLuSb2
Source: Alexandria via LeMat-Bulk
Functional: PBE
Structure: relaxed

Cell: 3.982 3.982 6.893 Å, 90.00 90.00 90.00°
Fractional positions:
Na 0.000 0.000 0.000
Lu 0.000 0.000 0.500
Sb 0.500 0.500 0.277
Sb 0.500 0.500 0.723

Its distance to the lowest polymorph of the same formula is 0 meV per atom. For the magnetization, the calculation gives 0.000 μB per atom. The uncorrected formation energy is -0.534 eV/atom.

Record 14
Compound: NaLuSi4
Source: Alexandria via LeMat-Bulk
Functional: PBE
Structure: relaxed

Cell: 5.256 5.256 5.256 Å, 60.00 60.00 60.00°
Fractional positions:
Na 0.000 0.000 0.000
Lu 0.250 0.250 0.250
Si 0.122 0.626 0.626
Si 0.626 0.122 0.626
Si 0.626 0.626 0.122
Si 0.626 0.626 0.626

For the magnetization, the calculation gives 0.000 μB per atom. The uncorrected formation energy is -0.152 eV/atom.

Record 15
Compound: NaSmLu
Source: Alexandria via LeMat-Bulk
Functional: PBE
Structure: relaxed

Cell: 8.465 8.465 8.465 Å, 156.16 156.16 33.97°
Fractional positions:
Na 0.000 0.000 0.000
Sm 0.680 0.680 0.000
Lu 0.327 0.327 0.000

Its distance to the lowest polymorph of the same formula is 22 meV per atom. The formation enthalpy at 0 K is 0.169 eV per atom. For the magnetization, the calculation gives 0.001 μB per atom.

Record 16
Compound: NaSmLu2
Source: Alexandria via LeMat-Bulk
Functional: PBE
Structure: relaxed

Cell: 3.546 3.546 10.313 Å, 90.00 90.00 90.00°
Fractional positions:
Na 0.000 0.000 0.000
Sm 0.000 0.000 0.500
Lu 0.500 0.500 0.270
Lu 0.500 0.500 0.730

The formation enthalpy at 0 K is 0.166 eV per atom. For the magnetization, the calculation gives 0.000 μB per atom.

Record 17
Compound: NaSmLu
Source: Alexandria via LeMat-Bulk
Functional: PBE
Structure: relaxed

Cell: 3.526 3.526 9.147 Å, 90.00 90.00 120.00°
Fractional positions:
Na 0.000 0.000 0.000
Sm 0.333 0.667 0.645
Lu 0.667 0.333 0.345

Its distance to the lowest polymorph of the same formula is 0 meV per atom. The formation enthalpy at 0 K is 0.147 eV per atom. For the magnetization, the calculation gives 0.005 μB per atom.

Record 18
Compound: NaLuSn2
Source: Alexandria via LeMat-Bulk
Functional: PBE
Structure: relaxed

Cell: 10.271 10.271 10.271 Å, 20.00 20.00 20.00°
Fractional positions:
Na 0.000 0.000 0.000
Lu 0.500 0.500 0.500
Sn 0.248 0.248 0.248
Sn 0.752 0.752 0.752

The formation enthalpy at 0 K is -0.271 eV per atom. For the magnetization, the calculation gives 0.000 μB per atom.

Record 19
Compound: NaLuSn2
Source: Alexandria via LeMat-Bulk
Functional: PBE
Structure: relaxed

Cell: 4.742 4.742 4.453 Å, 90.00 90.00 90.00°
Fractional positions:
Na 0.000 0.000 0.000
Lu 0.500 0.500 0.000
Sn 0.000 0.500 0.500
Sn 0.500 0.000 0.500

The formation enthalpy at 0 K is -0.368 eV per atom. For the magnetization, the calculation gives 0.000 μB per atom.

Record 20
Compound: NaLuSn2
Source: Alexandria via LeMat-Bulk
Functional: PBE
Structure: relaxed

Cell: 3.419 3.419 9.099 Å, 90.00 90.00 90.00°
Fractional positions:
Na 0.000 0.000 0.000
Lu 0.000 0.000 0.500
Sn 0.500 0.500 0.263
Sn 0.500 0.500 0.737

The formation enthalpy at 0 K is -0.372 eV per atom. For the magnetization, the calculation gives 0.030 μB per atom.

Record 21
Compound: NaLuTlSn
Source: Alexandria via LeMat-Bulk
Functional: PBE
Structure: relaxed

Cell: 5.294 5.294 5.294 Å, 60.00 60.00 60.00°
Fractional positions:
Na 0.000 0.000 0.000
Lu 0.500 0.500 0.500
Tl 0.750 0.750 0.750
Sn 0.250 0.250 0.250

The formation enthalpy at 0 K is -0.249 eV per atom. For the magnetization, the calculation gives 0.000 μB per atom.

Record 22
Compound: NaLuZnSn
Source: Alexandria via LeMat-Bulk
Functional: PBE
Structure: relaxed

Cell: 5.111 5.111 5.111 Å, 60.00 60.00 60.00°
Fractional positions:
Na 0.000 0.000 0.000
Lu 0.500 0.500 0.500
Zn 0.750 0.750 0.750
Sn 0.250 0.250 0.250

The formation enthalpy at 0 K is -0.265 eV per atom. For the magnetization, the calculation gives 0.000 μB per atom.

Record 23
Compound: NaSrLuTl
Source: Alexandria via LeMat-Bulk
Functional: PBE
Structure: relaxed

Cell: 5.605 5.605 5.605 Å, 60.00 60.00 60.00°
Fractional positions:
Na 0.000 0.000 0.000
Sr 0.250 0.250 0.250
Lu 0.750 0.750 0.750
Tl 0.500 0.500 0.500

The formation enthalpy at 0 K is -0.035 eV per atom. For the magnetization, the calculation gives 0.000 μB per atom.

Record 24
Compound: NaTb2Lu
Source: Alexandria via LeMat-Bulk
Functional: PBE
Structure: relaxed

Cell: 3.486 3.486 10.617 Å, 90.00 90.00 90.00°
Fractional positions:
Na 0.000 0.000 0.000
Tb 0.500 0.500 0.271
Tb 0.500 0.500 0.729
Lu 0.000 0.000 0.500

The formation enthalpy at 0 K is 0.128 eV per atom. For the magnetization, the calculation gives 0.000 μB per atom.

Record 25
Compound: NaTbLu
Source: Alexandria via LeMat-Bulk
Functional: PBE
Structure: relaxed

Cell: 3.495 3.495 9.102 Å, 90.00 90.00 120.00°
Fractional positions:
Na 0.000 0.000 0.000
Tb 0.333 0.667 0.646
Lu 0.667 0.333 0.348

The formation enthalpy at 0 K is 0.156 eV per atom. For the magnetization, the calculation gives 0.009 μB per atom.

Record 26
Compound: NaTbLuTl
Source: Alexandria via LeMat-Bulk
Functional: PBE
Structure: relaxed

Cell: 5.365 5.365 5.365 Å, 60.00 60.00 60.00°
Fractional positions:
Na 0.000 0.000 0.000
Tb 0.250 0.250 0.250
Lu 0.750 0.750 0.750
Tl 0.500 0.500 0.500

The formation enthalpy at 0 K is -0.020 eV per atom. For the magnetization, the calculation gives 0.000 μB per atom.

Record 27
Compound: NaLu2Th
Source: Alexandria via LeMat-Bulk
Functional: PBE
Structure: relaxed

Cell: 3.530 3.530 10.291 Å, 90.00 90.00 90.00°
Fractional positions:
Na 0.000 0.000 0.000
Lu 0.500 0.500 0.274
Lu 0.500 0.500 0.726
Th 0.000 0.000 0.500

The formation enthalpy at 0 K is 0.134 eV per atom. For the magnetization, the calculation gives 0.000 μB per atom.

Record 28
Compound: NaLuTl2
Source: Alexandria via LeMat-Bulk
Functional: PBE
Structure: relaxed

Cell: 5.351 5.351 3.670 Å, 90.00 90.00 90.00°
Fractional positions:
Na 0.000 0.000 0.000
Lu 0.500 0.500 0.000
Tl 0.000 0.500 0.500
Tl 0.500 0.000 0.500

The formation enthalpy at 0 K is -0.207 eV per atom. For the magnetization, the calculation gives 0.000 μB per atom.

Record 29
Compound: NaLuTl2
Source: Alexandria via LeMat-Bulk
Functional: PBE
Structure: relaxed

Cell: 10.527 10.527 10.527 Å, 19.54 19.54 19.54°
Fractional positions:
Na 0.000 0.000 0.000
Lu 0.500 0.500 0.500
Tl 0.249 0.249 0.249
Tl 0.751 0.751 0.751

The formation enthalpy at 0 K is -0.086 eV per atom. For the magnetization, the calculation gives 0.000 μB per atom.

Record 30
Compound: NaTm2Lu
Source: Alexandria via LeMat-Bulk
Functional: PBE
Structure: relaxed

Cell: 3.473 3.473 10.399 Å, 90.00 90.00 90.00°
Fractional positions:
Na 0.000 0.000 0.000
Tm 0.500 0.500 0.274
Tm 0.500 0.500 0.726
Lu 0.000 0.000 0.500

Its distance to the lowest polymorph of the same formula is 0 meV per atom. The formation enthalpy at 0 K is 0.145 eV per atom. For the magnetization, the calculation gives 0.000 μB per atom.

Record 31
Compound: NaTm2Lu
Source: Alexandria via LeMat-Bulk
Functional: PBE
Structure: relaxed

Cell: 12.672 12.672 12.672 Å, 15.57 15.57 15.57°
Fractional positions:
Na 0.000 0.000 0.000
Tm 0.093 0.093 0.093
Tm 0.907 0.907 0.907
Lu 0.500 0.500 0.500

Its distance to the lowest polymorph of the same formula is 26 meV per atom. The formation enthalpy at 0 K is 0.170 eV per atom. For the magnetization, the calculation gives 0.000 μB per atom.